# 1
Computed, not measured: a geometry-optimized HoGa3CuPd structure at the GGA-PBE level of DFT.

a = 6.864 Å, b = 6.864 Å, c = 5.917 Å
α = 90.00°, β = 90.00°, γ = 128.95°
Fractional positions:
Ho 0.209 0.791 0.750
Ho 0.791 0.209 0.250
Ga 0.212 0.212 0.000
Ga 0.212 0.212 0.500
Ga 0.359 0.641 0.250
Ga 0.641 0.359 0.750
Ga 0.788 0.788 0.000
Ga 0.788 0.788 0.500
Cu 0.426 0.574 0.750
Cu 0.574 0.426 0.250
Pd 0.153 0.847 0.250
Pd 0.847 0.153 0.750

Values from the calculation:
- formation energy from the elements (eV/f.u.) = -2.17
- final energy (eV per atom) = -4.186
- SG = Cmcm
- D(E_F) (states/eV/cell) = 2.8

***

# 2
Computed, not measured: a geometry-optimized HoGa2CuPd structure at the GGA-PBE level of DFT.

a = 5.987 Å, b = 5.987 Å, c = 5.987 Å
α = 139.40°, β = 139.40°, γ = 58.77°
Fractional positions:
Ho 0.000 0.000 0.000
Ga 0.380 0.380 0.000
Ga 0.620 0.620 0.000
Cu 0.250 0.750 0.500
Pd 0.750 0.250 0.500

Values from the calculation:
- formation energy from the elements (eV/f.u.) = -2.85
- final energy (eV per atom) = -4.554
- SG = I-4m2
- D(E_F) (states/eV/cell) = 3.4

***

# 3
Computed, not measured: a geometry-optimized Pm2HoGa2Cu2 structure at the GGA-PBE level of DFT.

a = 9.694 Å, b = 9.694 Å, c = 9.694 Å
α = 26.19°, β = 26.19°, γ = 26.19°
Fractional positions:
Pm 0.123 0.123 0.123
Pm 0.877 0.877 0.877
Ho 0.000 0.000 0.000
Ga 0.269 0.269 0.269
Ga 0.731 0.731 0.731
Cu 0.391 0.391 0.391
Cu 0.609 0.609 0.609

Values from the calculation:
- formation energy from the elements (eV/f.u.) = -2.74
- final energy (eV per atom) = -4.438
- SG = R-3m
- D(E_F) (states/eV/cell) = 5.7

***

# 4
Computed, not measured: a geometry-optimized PmHo2Ga2Cu2 structure at the GGA-PBE level of DFT.

a = 9.479 Å, b = 9.479 Å, c = 9.479 Å
α = 26.91°, β = 26.91°, γ = 26.91°
Fractional positions:
Pm 0.000 0.000 0.000
Ho 0.125 0.125 0.125
Ho 0.875 0.875 0.875
Ga 0.260 0.260 0.260
Ga 0.740 0.740 0.740
Cu 0.404 0.404 0.404
Cu 0.596 0.596 0.596

Values from the calculation:
- formation energy from the elements (eV/f.u.) = -2.73
- final energy (eV per atom) = -4.412
- SG = R-3m
- D(E_F) (states/eV/cell) = 4.7

***

# 5
Computed, not measured: a geometry-optimized PrHoGa2Cu2 structure at the GGA-PBE level of DFT.

a = 4.375 Å, b = 4.375 Å, c = 7.402 Å
α = 90.00°, β = 90.00°, γ = 120.00°
Fractional positions:
Pr 0.000 0.000 0.000
Ho 0.000 0.000 0.500
Ga 0.333 0.667 0.273
Ga 0.667 0.333 0.727
Cu 0.333 0.667 0.716
Cu 0.667 0.333 0.284

Values from the calculation:
- formation energy from the elements (eV/f.u.) = -2.85
- final energy (eV per atom) = -4.409
- SG = P-3m1
- D(E_F) (states/eV/cell) = 6.6

***

# 6
Computed, not measured: a geometry-optimized PrHoGaCu structure at the GGA-PBE level of DFT.

a = 5.100 Å, b = 5.100 Å, c = 5.100 Å
α = 60.00°, β = 60.00°, γ = 60.00°
Fractional positions:
Pr 0.000 0.000 0.000
Ho 0.500 0.500 0.500
Ga 0.250 0.250 0.250
Cu 0.750 0.750 0.750

Values from the calculation:
- formation energy from the elements (eV/f.u.) = -1.44
- final energy (eV per atom) = -4.479
- SG = F-43m
- D(E_F) (states/eV/cell) = 3.7

***

# 7
Computed, not measured: a geometry-optimized Pr2HoGa2Cu2 structure at the GGA-PBE level of DFT.

a = 9.853 Å, b = 9.853 Å, c = 9.853 Å
α = 25.81°, β = 25.81°, γ = 25.81°
Fractional positions:
Pr 0.122 0.122 0.122
Pr 0.878 0.878 0.878
Ho 0.000 0.000 0.000
Ga 0.272 0.272 0.272
Ga 0.728 0.728 0.728
Cu 0.389 0.389 0.389
Cu 0.611 0.611 0.611

Values from the calculation:
- formation energy from the elements (eV/f.u.) = -2.72
- final energy (eV per atom) = -4.444
- SG = R-3m
- D(E_F) (states/eV/cell) = 5.4

***

# 8
Computed, not measured: a geometry-optimized HoGa4CuPt2 structure at the GGA-PBE level of DFT.

a = 8.868 Å, b = 8.868 Å, c = 8.868 Å
α = 27.93°, β = 27.93°, γ = 27.93°
Fractional positions:
Ho 0.000 0.000 0.000
Ga 0.132 0.132 0.132
Ga 0.397 0.397 0.397
Ga 0.603 0.603 0.603
Ga 0.868 0.868 0.868
Cu 0.500 0.500 0.500
Pt 0.241 0.241 0.241
Pt 0.759 0.759 0.759

Values from the calculation:
- formation energy from the elements (eV/f.u.) = -4.64
- final energy (eV per atom) = -4.688
- SG = R-3m
- D(E_F) (states/eV/cell) = 2.6

***

# 9
Computed, not measured: a geometry-optimized HoGaCuPt2 structure at the GGA-PBE level of DFT.

a = 6.925 Å, b = 6.925 Å, c = 6.925 Å
α = 148.56°, β = 148.56°, γ = 45.05°
Fractional positions:
Ho 0.000 0.000 0.000
Ga 0.250 0.750 0.500
Cu 0.750 0.250 0.500
Pt 0.393 0.393 0.000
Pt 0.607 0.607 0.000

Values from the calculation:
- formation energy from the elements (eV/f.u.) = -4.02
- final energy (eV per atom) = -5.560
- SG = I-4m2
- D(E_F) (states/eV/cell) = 1.8

***

# 10
Computed, not measured: a geometry-optimized HoGa3CuPt structure at the GGA-PBE level of DFT.

a = 6.801 Å, b = 6.801 Å, c = 5.952 Å
α = 90.00°, β = 90.00°, γ = 128.16°
Fractional positions:
Ho 0.213 0.787 0.750
Ho 0.787 0.213 0.250
Ga 0.211 0.211 0.000
Ga 0.211 0.211 0.500
Ga 0.358 0.642 0.250
Ga 0.642 0.358 0.750
Ga 0.789 0.789 0.000
Ga 0.789 0.789 0.500
Cu 0.432 0.568 0.750
Cu 0.568 0.432 0.250
Pt 0.153 0.847 0.250
Pt 0.847 0.153 0.750

Values from the calculation:
- formation energy from the elements (eV/f.u.) = -2.41
- final energy (eV per atom) = -4.367
- SG = Cmcm
- D(E_F) (states/eV/cell) = 2.7

***

# 11
Computed, not measured: a geometry-optimized Ho2Ga4Cu3Pt structure at the GGA-PBE level of DFT.

a = 4.119 Å, b = 4.119 Å, c = 10.292 Å
α = 90.00°, β = 90.00°, γ = 90.00°
Fractional positions:
Ho 0.000 0.500 0.249
Ho 0.500 0.000 0.751
Ga 0.000 0.000 0.000
Ga 0.000 0.500 0.638
Ga 0.500 0.000 0.362
Ga 0.500 0.500 0.000
Cu 0.000 0.500 0.867
Cu 0.500 0.000 0.133
Cu 0.500 0.500 0.500
Pt 0.000 0.000 0.500

Values from the calculation:
- formation energy from the elements (eV/f.u.) = -5.49
- final energy (eV per atom) = -4.509
- SG = P-4m2
- D(E_F) (states/eV/cell) = 4.6

***

# 12
Computed, not measured: a geometry-optimized Ho2Ga2CuPt5 structure at the GGA-PBE level of DFT.

a = 9.696 Å, b = 9.696 Å, c = 3.708 Å
α = 90.00°, β = 90.00°, γ = 90.00°
Fractional positions:
Ho 0.175 0.325 0.000
Ho 0.325 0.825 0.000
Ho 0.675 0.175 0.000
Ho 0.825 0.675 0.000
Ga 0.126 0.626 0.000
Ga 0.374 0.126 0.000
Ga 0.626 0.874 0.000
Ga 0.874 0.374 0.000
Cu 0.000 0.000 0.000
Cu 0.500 0.500 0.000
Pt 0.000 0.500 0.500
Pt 0.060 0.800 0.500
Pt 0.200 0.060 0.500
Pt 0.300 0.560 0.500
Pt 0.440 0.300 0.500
Pt 0.500 0.000 0.500
Pt 0.560 0.700 0.500
Pt 0.700 0.440 0.500
Pt 0.800 0.940 0.500
Pt 0.940 0.200 0.500

Values from the calculation:
- formation energy from the elements (eV/f.u.) = -7.95
- final energy (eV per atom) = -5.746
- SG = P4/mbm
- D(E_F) (states/eV/cell) = 8.9

***

Question: What is the final energy in the seventh record?
Answer: -4.444 eV per atom

***

Question: Which value of formation energy from the elements does entry 9 give?
Answer: -4.02 eV/f.u.